Record 1
Be2ReIr: relaxed, PBE-GGA.

a = 2.788 Å, b = 3.837 Å, c = 4.552 Å
α = 90.00°, β = 90.00°, γ = 90.00°
Fractional positions:
Be: 0.000 0.000 0.000
Be: 0.500 0.000 0.500
Re: 0.000 0.500 0.500
Ir: 0.500 0.500 0.000

Properties
Calculated formation energy ... -4 meV per atom
Offset from the most stable computed form ... 319 meV/atom



Record 2
Nd4DyHo5: relaxed, PBE-GGA.

a = 3.598 Å, b = 3.598 Å, c = 25.221 Å
α = 90.00°, β = 90.00°, γ = 90.00°
Fractional positions:
Nd: 0.000 0.000 0.101
Nd: 0.000 0.000 0.302
Nd: 0.000 0.000 0.698
Nd: 0.000 0.000 0.899
Dy: 0.000 0.000 0.500
Ho: 0.500 0.500 0.000
Ho: 0.500 0.500 0.201
Ho: 0.500 0.500 0.403
Ho: 0.500 0.500 0.597
Ho: 0.500 0.500 0.799

Properties
Calculated formation energy ... 19 meV per atom
Offset from the most stable computed form ... 0 meV/atom



Record 3
TbPm6Ho3Sc2: relaxed, PBE-GGA.

a = 6.168 Å, b = 6.168 Å, c = 11.622 Å
α = 95.06°, β = 95.06°, γ = 119.98°
Fractional positions:
Tb: 0.000 0.000 0.000
Pm: 0.082 0.419 0.245
Pm: 0.254 0.254 0.755
Pm: 0.419 0.082 0.245
Pm: 0.581 0.918 0.755
Pm: 0.746 0.746 0.245
Pm: 0.918 0.581 0.755
Ho: 0.167 0.833 0.500
Ho: 0.500 0.500 0.500
Ho: 0.833 0.167 0.500
Sc: 0.333 0.667 0.000
Sc: 0.667 0.333 0.000

Properties
Calculated formation energy ... 34 meV per atom



Record 4
TaSb2P: relaxed, PBE-GGA.

a = 4.887 Å, b = 4.887 Å, c = 4.887 Å
α = 60.00°, β = 60.00°, γ = 60.00°
Fractional positions:
Ta: 0.000 0.000 0.000
Sb: 0.250 0.250 0.250
Sb: 0.500 0.500 0.500
P: 0.750 0.750 0.750

Properties
Raw formation energy ... 0.55 eV per atom



Record 5
CaBAsBr2: relaxed, PBE-GGA.

a = 5.541 Å, b = 5.541 Å, c = 5.974 Å
α = 90.00°, β = 90.00°, γ = 90.00°
Fractional positions:
Ca: 0.000 0.000 0.000
B: 0.500 0.500 0.500
As: 0.000 0.000 0.500
Br: 0.000 0.500 0.000
Br: 0.500 0.000 0.000

Properties
Offset from the most stable computed form ... 595 meV/atom
Raw formation energy ... 0.57 eV per atom



Record 6
Ba2TaPt: relaxed, PBE-GGA.

a = 7.027 Å, b = 7.027 Å, c = 7.027 Å
α = 147.06°, β = 133.71°, γ = 57.98°
Fractional positions:
Ba: 0.000 0.000 0.000
Ba: 0.716 0.216 0.500
Ta: 0.411 0.411 0.000
Pt: 0.291 0.791 0.500

Properties
Calculated formation energy ... 177 meV per atom
Offset from the most stable computed form ... 117 meV/atom